A) A plane-wave DFT calculation with PBE-GGA was carried out for CoMo2Os after structural relaxation.

The theoretical density comes out at 12.90 Mg/m³.

The space group is I-4m2 (No. 119) and the conventional cell measures 3.836, 3.836 and 7.717 Å, with angles of 90.00, 90.00 and 90.00 degrees. The inequivalent atoms are Co at (0.000, 0.000, 0.000), Mo at (0.000, 0.000, 0.500), Mo at (0.000, 0.500, 0.750) and Os at (0.000, 0.500, 0.250).



B) A plane-wave DFT calculation with PBE-GGA was carried out for CoMo2Os after structural relaxation.

The theoretical density comes out at 12.80 Mg/m³.

The space group is Pmm2 (No. 25) and the conventional cell measures 2.768, 3.701 and 5.586 Å, with angles of 90.00, 90.00 and 90.00 degrees. The inequivalent atoms are Co at (0.000, 0.000, 0.000), Mo at (0.000, 0.000, 0.512), Mo at (0.500, 0.500, 0.220) and Os at (0.500, 0.500, 0.759).



C) A plane-wave DFT calculation with PBE-GGA was carried out for CoMo2Os after structural relaxation.

The theoretical density comes out at 12.83 Mg/m³.

The space group is Cm (No. 8) and the conventional cell measures 8.937, 2.765 and 4.701 Å, with angles of 90.00, 100.66 and 90.00 degrees. The inequivalent atoms are Co at (0.000, 0.000, 0.000), Mo at (0.258, 0.000, 0.796), Mo at (0.491, 0.000, 0.497) and Os at (0.237, 0.500, 0.269).



D) A plane-wave DFT calculation with PBE-GGA was carried out for CoMo2Os after structural relaxation.

The theoretical density comes out at 12.60 Mg/m³.

The space group is Fm-3m (No. 225) and the conventional cell measures 6.150, 6.150 and 6.150 Å, with angles of 90.00, 90.00 and 90.00 degrees. The inequivalent atoms are Co at (0.000, 0.000, 0.000), Mo at (0.250, 0.250, 0.250) and Os at (0.000, 0.000, 0.500).



Most stable: A)